Below is a relaxed structure of BaCo2Ag, with properties calculated at the PBE level.

```
4
Lattice="4.406 0.000 0.000 0.000 4.406 0.000 0.000 0.000 4.093" Properties=species:S:1:pos:R:3 pbc="T T T"
Ba 0.000 0.000 0.000
Co 0.000 2.203 2.047
Co 2.203 0.000 2.047
Ag 2.203 2.203 0.000
```

Values from the calculation:
- Space group: P4/mmm, No. 123
- Formation enthalpy at 0 K: 0.8876 eV per atom
- Calculated density: 7.59 Mg/m³
- DFT total energy: -3.8588 eV/atom

=====

Below is a relaxed structure of Dy5Ho6Mg2, with properties calculated at the PBE level.

```
26
Lattice="10.286 0.000 0.000 0.000 22.339 0.000 0.000 0.000 3.528" Properties=species:S:1:pos:R:3 pbc="T T T"
Dy 0.000 0.000 0.000
Dy 0.802 5.618 0.000
Dy 1.709 11.310 0.000
Dy 3.434 0.140 0.000
Dy 4.341 16.788 0.000
Dy 5.143 11.170 0.000
Dy 5.945 5.551 0.000
Dy 6.852 22.199 0.000
Dy 8.577 11.030 0.000
Dy 9.484 16.721 0.000
Ho 0.210 8.653 1.764
Ho 1.475 2.644 1.764
Ho 1.733 19.347 0.000
Ho 3.410 8.177 0.000
Ho 3.668 13.814 1.764
Ho 4.933 19.822 1.764
Ho 5.353 2.517 1.764
Ho 6.618 8.526 1.764
Ho 6.876 14.162 0.000
Ho 8.553 2.993 0.000
Ho 8.810 19.696 1.764
Ho 10.076 13.687 1.764
Mg 1.765 16.517 1.764
Mg 3.378 5.347 1.764
Mg 6.908 16.992 1.764
Mg 8.521 5.823 1.764
```

Values from the calculation:
- Space group: Pbam, No. 55
- Formation enthalpy at 0 K: 0.1422 eV per atom
- Calculated density: 7.58 Mg/m³
- DFT total energy: -3.9860 eV/atom

=====

The lowest calculated density belongs to which entry? Dy5Ho6Mg2

=====

Which value of calculated density does entry 1 give? 7.59 Mg/m³